Cs2TlCoCl6: relaxed, PBE-GGA.

Properties
The value obtained for the formation energy from raw total energies is -1249 meV/atom. For the total energy, the calculation gives -34.75 eV for the cell shown. As for the space group: No. 225. For the theoretical density, the calculation gives 4.1 g/cm3.

The structure in POSCAR format:
```
Cs2TlCoCl6
1.0
0.000 5.318 5.318
5.318 0.000 5.318
5.318 5.318 0.000
Cs Tl Co Cl
2 1 1 6
Cartesian
2.659 2.659 2.659
7.977 7.977 7.977
0.000 0.000 0.000
5.318 5.318 5.318
5.318 5.318 3.029
5.318 3.029 5.318
7.607 5.318 5.318
3.029 5.318 5.318
5.318 7.607 5.318
5.318 5.318 7.607
```

TaRu2: relaxed, PBE-GGA.

Properties
For the total energy, the calculation gives -124.58 eV for the cell shown. As for the density of states at the Fermi level: 1.194 states/eV/atom. As for the space group: No. 141. For the theoretical density, the calculation gives 13.9 g/cm3. The energy of formation from the pure elements is -0.247 eV/atom.

The structure in POSCAR format:
```
TaRu2
1.0
-1.943 1.943 12.147
1.943 -1.943 12.147
1.943 1.943 -12.147
Ta Ru
4 8
Cartesian
1.943 0.972 1.166
1.943 0.972 4.907
0.000 0.972 7.239
0.000 0.972 10.981
1.943 -0.972 7.114
1.943 0.972 -3.023
1.943 -0.972 11.106
0.000 0.972 3.050
1.943 0.972 9.096
0.000 2.915 1.041
0.000 0.972 15.170
0.000 2.915 5.032
```

Mn2FeCo: relaxed, PBE-GGA.

Properties
For the total energy, the calculation gives -33.75 eV for the cell shown. As for the density of states at the Fermi level: 1.167 states/eV/atom. As for the space group: No. 25. For the theoretical density, the calculation gives 8.4 g/cm3. The energy of formation from the pure elements is 0.040 eV/atom. The value obtained for the offset from the most stable computed form is 0.12 eV per formula unit.

The structure in POSCAR format:
```
Mn2FeCo
1.0
2.507 0.000 0.000
0.000 3.520 0.000
0.000 0.000 5.005
Mn Fe Co
2 1 1
Cartesian
0.000 0.000 0.000
1.254 1.760 1.301
1.254 1.760 3.729
0.000 0.000 2.527
```

GaAgOs3: relaxed, PBE-GGA.

Properties
For the total energy, the calculation gives -29.50 eV for the cell shown. As for the density of states at the Fermi level: 1.432 states/eV/atom. As for the space group: No. 221. For the theoretical density, the calculation gives 13.3 g/cm3. The energy of formation from the pure elements is 2.013 eV/atom. The value obtained for the offset from the most stable computed form is 0.00 eV per formula unit.

The structure in POSCAR format:
```
GaAgOs3
1.0
4.536 0.000 0.000
0.000 4.536 0.000
0.000 0.000 4.536
Ga Ag Os
1 1 3
Cartesian
0.000 0.000 0.000
2.268 2.268 2.268
0.000 0.000 2.268
0.000 2.268 0.000
2.268 0.000 0.000
```

Ca3Gd: relaxed, PBE-GGA.

Properties
For the total energy, the calculation gives -19.72 eV for the cell shown. As for the density of states at the Fermi level: 2.409 states/eV/atom. As for the space group: No. 25. For the theoretical density, the calculation gives 2.9 g/cm3. The energy of formation from the pure elements is 0.091 eV/atom. The value obtained for the offset from the most stable computed form is 0.02 eV per formula unit.

The structure in POSCAR format:
```
Ca3Gd
1.0
3.787 0.000 0.000
0.000 6.244 0.000
0.000 0.000 6.644
Ca Gd
3 1
Cartesian
0.000 0.000 0.000
0.000 3.122 2.247
1.894 3.122 5.482
1.894 0.000 3.319
```

TiPdBr3: relaxed, PBE-GGA.

Properties
The value obtained for the formation energy from raw total energies is -240 meV/atom. For the total energy, the calculation gives -19.31 eV for the cell shown. As for the density of states at the Fermi level: 0.715 states/eV/atom. As for the space group: No. 221. For the theoretical density, the calculation gives 5.0 g/cm3. The value obtained for the offset from the most stable computed form is 0.00 eV per formula unit.

The structure in POSCAR format:
```
TiPdBr3
1.0
5.078 0.000 0.000
0.000 5.078 0.000
0.000 0.000 5.078
Ti Pd Br
1 1 3
Cartesian
0.000 0.000 0.000
2.539 2.539 2.539
0.000 0.000 2.539
0.000 2.539 0.000
2.539 0.000 0.000
```

Which of these has the highest total energy? TiPdBr3

The highest theoretical density belongs to which entry? TaRu2

Which value of total energy does entry 3 give? -33.75 eV for the cell shown